# Cs2PBr6Cl (PBE-GGA, optimized geometry)
# Final energy in eV/atom: -2.758
# Magnetic moment in μB per atom: 0.000
data_Cs2PBr6Cl
_symmetry_space_group_name_H-M 'P 1'
_symmetry_Int_Tables_number 1
_symmetry_space_group_name_Hall 'P 1'
_cell_length_a 7.898
_cell_length_b 7.898
_cell_length_c 7.888
_cell_angle_alpha 59.96
_cell_angle_beta 59.96
_cell_angle_gamma 90.00
loop_
_atom_site_label
_atom_site_fract_x
_atom_site_fract_y
_atom_site_fract_z
Cs1 0.750 0.250 0.500
Cs2 0.250 0.750 0.500
P1 0.500 0.500 0.000
Br1 0.282 0.282 0.436
Br2 0.718 0.718 0.564
Br3 0.282 0.282 0.000
Br4 0.718 0.718 0.000
Br5 0.718 0.282 0.000
Br6 0.282 0.718 0.000
Cl1 0.000 0.000 0.000